First-principles (PBE) data for a relaxed structure of Bi4Te3Se3, as listed in Alexandria via LeMat-Bulk.

The structure in POSCAR format:
```
Bi4Te3Se3
1.0
2.154 1.244 20.924
-2.154 1.244 20.924
0.000 -2.487 20.924
Bi Te Se
4 3 3
Direct
0.000 0.000 0.000
0.104 0.104 0.104
0.497 0.497 0.497
0.607 0.607 0.607
0.193 0.193 0.193
0.695 0.695 0.695
0.912 0.912 0.912
0.303 0.303 0.303
0.413 0.413 0.413
0.801 0.801 0.801
```

Summary:
The symmetry is R3m (160). For the formation energy (no corrections), the calculation gives -3.27 eV per formula unit. Its crystal system is trigonal. The value obtained for the magnetization is 0.00 μB/f.u.